Here is crystalline InAsSe2O at its relaxed geometry from Alexandria. Energies are from GGA-PBE.

a b c (Å): 5.2175 5.2175 5.3866
angles (deg): 90.00 90.00 90.00
Fractional positions:
As 0.0000 0.0000 0.5000
O 0.5000 0.5000 0.5000
Se 0.0000 0.5000 0.0000
Se 0.5000 0.0000 0.0000
In 0.0000 0.0000 0.0000

Calculated values
The formation energy from raw total energies is 1.2533 eV/atom. The density of states at the Fermi level comes out at 13.05 states/eV/f.u. For the total magnetic moment, the calculation gives 0.1 μB per cell. The final energy is -2.610 eV per atom. As for the symmetry: No. 123. As for the energy relative to the lowest polymorph listed for this composition: 964.7 meV per atom.